--- w ---
{"formula": "Ce2PuCo", "functional": "PBE-GGA", "state": "relaxed", "rho_g_cm3": 9.7, "magnetic_moment_mub_per_cell": 6.60, "dos_at_fermi_per_ev_fu": 12.46, "cell": [[1.757, 1.014, 9.340], [-1.757, 1.014, 9.340], [0.000, -2.029, 9.340]], "species": ["Ce", "Ce", "Pu", "Co"], "frac_coords": [[0.106, 0.106, 0.106], [0.894, 0.894, 0.894], [0.000, 0.000, 0.000], [0.500, 0.500, 0.500]]}

=====

--- x ---
{"formula": "Ce2PuCo", "functional": "PBE-GGA", "state": "relaxed", "rho_g_cm3": 9.9, "magnetic_moment_mub_per_cell": 6.86, "dos_at_fermi_per_ev_fu": 11.10, "cell": [[1.833, 1.058, 8.441], [-1.833, 1.058, 8.441], [0.000, -2.117, 8.441]], "species": ["Ce", "Ce", "Pu", "Co"], "frac_coords": [[0.000, 0.000, 0.000], [0.205, 0.205, 0.205], [0.768, 0.768, 0.768], [0.604, 0.604, 0.604]]}

=====

--- y ---
{"formula": "Ce2PuCo", "functional": "PBE-GGA", "state": "relaxed", "rho_g_cm3": 11.0, "magnetic_moment_mub_per_cell": 5.06, "dos_at_fermi_per_ev_fu": 9.98, "cell": [[3.383, 0.000, 0.000], [0.000, 3.383, 0.000], [0.000, 0.000, 7.694]], "species": ["Ce", "Ce", "Pu", "Co"], "frac_coords": [[0.000, 0.000, 0.210], [0.000, 0.000, 0.790], [0.500, 0.500, 0.500], [0.500, 0.500, 0.000]]}

=====

Order of stability, best first: y, x, w

=====

--- w ---
{"formula": "Ce3CoRh2", "functional": "PBE-GGA", "state": "relaxed", "rho_g_cm3": 9.0, "magnetic_moment_mub_per_cell": 0.00, "dos_at_fermi_per_ev_fu": 7.78, "cell": [[6.185, -2.901, 0.000], [6.185, 2.901, 0.000], [-1.892, 0.000, 7.062]], "species": ["Ce", "Ce", "Ce", "Ce", "Ce", "Ce", "Co", "Co", "Rh", "Rh", "Rh", "Rh"], "frac_coords": [[0.100, 0.900, 0.750], [0.255, 0.421, 0.375], [0.421, 0.255, 0.875], [0.579, 0.745, 0.125], [0.745, 0.579, 0.625], [0.900, 0.100, 0.250], [0.384, 0.616, 0.250], [0.616, 0.384, 0.750], [0.066, 0.256, 0.019], [0.256, 0.066, 0.519], [0.744, 0.934, 0.481], [0.934, 0.744, 0.981]]}

=====

--- x ---
{"formula": "Ce3CoRh2", "functional": "PBE-GGA", "state": "relaxed", "rho_g_cm3": 8.7, "magnetic_moment_mub_per_cell": 0.00, "dos_at_fermi_per_ev_fu": 7.22, "cell": [[6.259, -2.810, 0.000], [6.259, 2.810, 0.000], [-2.454, 0.000, 7.468]], "species": ["Ce", "Ce", "Ce", "Ce", "Ce", "Ce", "Co", "Co", "Rh", "Rh", "Rh", "Rh"], "frac_coords": [[0.001, 0.999, 0.750], [0.341, 0.345, 0.921], [0.345, 0.341, 0.421], [0.655, 0.659, 0.579], [0.659, 0.655, 0.079], [0.999, 0.001, 0.250], [0.499, 0.501, 0.250], [0.501, 0.499, 0.750], [0.168, 0.171, 0.585], [0.171, 0.168, 0.085], [0.829, 0.832, 0.915], [0.832, 0.829, 0.415]]}

=====

Order of stability, best first: w, x

=====

--- w ---
{"formula": "CeCoRu", "functional": "PBE-GGA", "state": "relaxed", "rho_g_cm3": 10.0, "magnetic_moment_mub_per_cell": 1.66, "dos_at_fermi_per_ev_fu": 3.89, "cell": [[-2.373, 2.731, 3.850], [2.373, -2.731, 3.850], [2.373, 2.731, -3.850]], "species": ["Ce", "Ce", "Co", "Co", "Ru", "Ru"], "frac_coords": [[0.373, 0.123, 0.250], [0.627, 0.877, 0.750], [0.000, 0.000, 0.500], [0.000, 0.500, 0.000], [0.000, 0.500, 0.500], [0.500, 0.500, 0.000]]}

=====

--- x ---
{"formula": "CeCoRu", "functional": "PBE-GGA", "state": "relaxed", "rho_g_cm3": 9.5, "magnetic_moment_mub_per_cell": 0.01, "dos_at_fermi_per_ev_fu": 3.81, "cell": [[-1.818, 1.818, 3.974], [1.818, -1.818, 3.974], [1.818, 1.818, -3.974]], "species": ["Ce", "Co", "Ru"], "frac_coords": [[0.000, 0.000, 0.000], [0.712, 0.712, 0.000], [0.301, 0.301, 0.000]]}

=====

--- y ---
{"formula": "CeCoRu", "functional": "PBE-GGA", "state": "relaxed", "rho_g_cm3": 9.6, "magnetic_moment_mub_per_cell": 0.00, "dos_at_fermi_per_ev_fu": 3.93, "cell": [[7.181, 0.000, 0.000], [0.000, 3.982, 0.000], [0.000, 0.000, 7.271]], "species": ["Ce", "Ce", "Ce", "Ce", "Co", "Co", "Co", "Co", "Ru", "Ru", "Ru", "Ru"], "frac_coords": [[0.071, 0.250, 0.181], [0.429, 0.750, 0.681], [0.571, 0.250, 0.319], [0.929, 0.750, 0.819], [0.238, 0.250, 0.925], [0.262, 0.750, 0.425], [0.738, 0.250, 0.575], [0.762, 0.750, 0.075], [0.100, 0.250, 0.590], [0.400, 0.750, 0.090], [0.600, 0.250, 0.910], [0.900, 0.750, 0.410]]}

=====

Order of stability, best first: w, y, x

=====

--- w ---
{"formula": "Ce4Co2Ru", "functional": "PBE-GGA", "state": "relaxed", "rho_g_cm3": 8.7, "magnetic_moment_mub_per_cell": 0.00, "dos_at_fermi_per_ev_fu": 11.26, "cell": [[4.046, -6.539, 0.000], [4.046, 6.539, 0.000], [-4.036, 0.000, 5.616]], "species": ["Ce", "Ce", "Ce", "Ce", "Ce", "Ce", "Ce", "Ce", "Co", "Co", "Co", "Co", "Ru", "Ru"], "frac_coords": [[0.012, 0.988, 0.500], [0.075, 0.483, 0.376], [0.297, 0.845, 0.211], [0.476, 0.608, 0.913], [0.483, 0.075, 0.876], [0.608, 0.476, 0.413], [0.845, 0.297, 0.711], [0.988, 0.012, 0.000], [0.087, 0.722, 0.753], [0.228, 0.377, 0.051], [0.377, 0.228, 0.551], [0.722, 0.087, 0.253], [0.592, 0.812, 0.509], [0.812, 0.592, 0.009]]}

=====

--- x ---
{"formula": "Ce4Co2Ru", "functional": "PBE-GGA", "state": "relaxed", "rho_g_cm3": 8.1, "magnetic_moment_mub_per_cell": 0.01, "dos_at_fermi_per_ev_fu": 12.13, "cell": [[-4.237, 4.237, 4.451], [4.237, -4.237, 4.451], [4.237, 4.237, -4.451]], "species": ["Ce", "Ce", "Ce", "Ce", "Ce", "Ce", "Ce", "Ce", "Co", "Co", "Co", "Co", "Ru", "Ru"], "frac_coords": [[0.202, 0.257, 0.555], [0.202, 0.647, 0.945], [0.257, 0.202, 0.055], [0.353, 0.798, 0.555], [0.647, 0.202, 0.445], [0.743, 0.798, 0.945], [0.798, 0.353, 0.055], [0.798, 0.743, 0.445], [0.000, 0.500, 0.500], [0.500, 0.000, 0.000], [0.500, 0.500, 0.000], [0.500, 0.500, 0.500], [0.125, 0.875, 0.250], [0.875, 0.125, 0.750]]}

=====

Order of stability, best first: w, x

=====

--- w ---
{"formula": "Ce3CoS6", "functional": "PBE-GGA", "state": "relaxed", "rho_g_cm3": 4.9, "magnetic_moment_mub_per_cell": 6.11, "dos_at_fermi_per_ev_fu": 14.03, "cell": [[5.890, 3.401, 3.755], [-5.890, 3.401, 3.755], [0.000, -6.801, 3.755]], "species": ["Ce", "Ce", "Ce", "Ce", "Ce", "Ce", "Co", "Co", "S", "S", "S", "S", "S", "S", "S", "S", "S", "S", "S", "S"], "frac_coords": [[0.117, 0.787, 0.617], [0.213, 0.383, 0.883], [0.383, 0.883, 0.213], [0.617, 0.117, 0.787], [0.787, 0.617, 0.117], [0.883, 0.213, 0.383], [0.000, 0.000, 0.000], [0.500, 0.500, 0.500], [0.065, 0.930, 0.305], [0.070, 0.695, 0.935], [0.200, 0.439, 0.535], [0.305, 0.065, 0.930], [0.439, 0.535, 0.200], [0.465, 0.800, 0.561], [0.535, 0.200, 0.439], [0.561, 0.465, 0.800], [0.695, 0.935, 0.070], [0.800, 0.561, 0.465], [0.930, 0.305, 0.065], [0.935, 0.070, 0.695]]}

=====

--- x ---
{"formula": "Ce3CoS6", "functional": "PBE-GGA", "state": "relaxed", "rho_g_cm3": 4.8, "magnetic_moment_mub_per_cell": 1.85, "dos_at_fermi_per_ev_fu": 12.45, "cell": [[5.410, -6.692, 0.000], [5.410, 6.692, 0.000], [0.000, 0.000, 6.423]], "species": ["Ce", "Ce", "Ce", "Ce", "Ce", "Ce", "Co", "Co", "S", "S", "S", "S", "S", "S", "S", "S", "S", "S", "S", "S"], "frac_coords": [[0.112, 0.888, 0.500], [0.218, 0.426, 0.425], [0.426, 0.218, 0.925], [0.574, 0.782, 0.425], [0.782, 0.574, 0.925], [0.888, 0.112, 0.000], [0.306, 0.694, 0.856], [0.694, 0.306, 0.356], [0.069, 0.598, 0.705], [0.138, 0.183, 0.712], [0.183, 0.138, 0.212], [0.281, 0.719, 0.212], [0.402, 0.931, 0.705], [0.464, 0.536, 0.731], [0.536, 0.464, 0.231], [0.598, 0.069, 0.205], [0.719, 0.281, 0.712], [0.817, 0.862, 0.712], [0.862, 0.817, 0.212], [0.931, 0.402, 0.205]]}

=====

Order of stability, best first: x, w

=====

--- w ---
{"formula": "CeCoS", "functional": "PBE-GGA", "state": "relaxed", "rho_g_cm3": 7.6, "magnetic_moment_mub_per_cell": 0.00, "dos_at_fermi_per_ev_fu": 3.55, "cell": [[3.930, 0.000, 0.000], [-1.965, 3.403, 0.000], [0.000, 0.000, 3.758]], "species": ["Ce", "Co", "S"], "frac_coords": [[0.000, 0.000, 0.000], [0.667, 0.333, 0.500], [0.333, 0.667, 0.500]]}

=====

--- x ---
{"formula": "CeCoS", "functional": "PBE-GGA", "state": "relaxed", "rho_g_cm3": 6.5, "magnetic_moment_mub_per_cell": 1.00, "dos_at_fermi_per_ev_fu": 4.16, "cell": [[1.938, -7.579, 0.000], [1.938, 7.579, 0.000], [0.000, 0.000, 3.990]], "species": ["Ce", "Ce", "Co", "Co", "S", "S"], "frac_coords": [[0.127, 0.873, 0.750], [0.873, 0.127, 0.250], [0.467, 0.533, 0.750], [0.533, 0.467, 0.250], [0.320, 0.680, 0.750], [0.680, 0.320, 0.250]]}

=====

Order of stability, best first: w, x

=====

--- w ---
{"formula": "CeCo2Si", "functional": "PBE-GGA", "state": "relaxed", "rho_g_cm3": 7.4, "magnetic_moment_mub_per_cell": 0.00, "dos_at_fermi_per_ev_fu": 2.38, "cell": [[3.754, 0.000, 0.000], [0.000, 3.754, 0.000], [0.000, 0.000, 9.152]], "species": ["Ce", "Ce", "Co", "Co", "Co", "Co", "Si", "Si"], "frac_coords": [[0.250, 0.250, 0.203], [0.750, 0.750, 0.797], [0.250, 0.250, 0.887], [0.250, 0.750, 0.500], [0.750, 0.250, 0.500], [0.750, 0.750, 0.113], [0.250, 0.250, 0.636], [0.750, 0.750, 0.364]]}

=====

--- x ---
{"formula": "CeCo2Si", "functional": "PBE-GGA", "state": "relaxed", "rho_g_cm3": 7.5, "magnetic_moment_mub_per_cell": 0.00, "dos_at_fermi_per_ev_fu": 3.86, "cell": [[1.973, 1.139, 4.686], [-1.973, 1.139, 4.686], [0.000, -2.278, 4.686]], "species": ["Ce", "Co", "Co", "Si"], "frac_coords": [[0.000, 0.000, 0.000], [0.205, 0.205, 0.205], [0.795, 0.795, 0.795], [0.500, 0.500, 0.500]]}

=====

Order of stability, best first: x, w

=====

--- w ---
{"formula": "CeCo3Si3", "functional": "PBE-GGA", "state": "relaxed", "rho_g_cm3": 6.5, "magnetic_moment_mub_per_cell": 0.00, "dos_at_fermi_per_ev_fu": 3.53, "cell": [[3.076, 1.776, 6.292], [-3.076, 1.776, 6.292], [0.000, -3.552, 6.292]], "species": ["Ce", "Ce", "Co", "Co", "Co", "Co", "Co", "Co", "Si", "Si", "Si", "Si", "Si", "Si"], "frac_coords": [[0.159, 0.159, 0.159], [0.841, 0.841, 0.841], [0.182, 0.400, 0.661], [0.339, 0.818, 0.600], [0.400, 0.661, 0.182], [0.600, 0.339, 0.818], [0.661, 0.182, 0.400], [0.818, 0.600, 0.339], [0.046, 0.236, 0.597], [0.236, 0.597, 0.046], [0.403, 0.954, 0.764], [0.597, 0.046, 0.236], [0.764, 0.403, 0.954], [0.954, 0.764, 0.403]]}

=====

--- x ---
{"formula": "CeCo3Si3", "functional": "PBE-GGA", "state": "relaxed", "rho_g_cm3": 5.6, "magnetic_moment_mub_per_cell": 2.65, "dos_at_fermi_per_ev_fu": 13.65, "cell": [[6.201, 0.000, 0.000], [0.000, 6.201, 0.000], [0.000, 0.000, 6.201]], "species": ["Ce", "Ce", "Co", "Co", "Co", "Co", "Co", "Co", "Si", "Si", "Si", "Si", "Si", "Si"], "frac_coords": [[0.000, 0.000, 0.000], [0.500, 0.500, 0.500], [0.000, 0.250, 0.500], [0.000, 0.750, 0.500], [0.250, 0.500, 0.000], [0.500, 0.000, 0.250], [0.500, 0.000, 0.750], [0.750, 0.500, 0.000], [0.000, 0.500, 0.250], [0.000, 0.500, 0.750], [0.250, 0.000, 0.500], [0.500, 0.250, 0.000], [0.500, 0.750, 0.000], [0.750, 0.000, 0.500]]}

=====

Order of stability, best first: w, x

=====

--- w ---
{"formula": "Ce4Co4Si", "functional": "PBE-GGA", "state": "relaxed", "rho_g_cm3": 7.8, "magnetic_moment_mub_per_cell": 0.00, "dos_at_fermi_per_ev_fu": 9.77, "cell": [[-4.259, 4.259, 2.427], [4.259, -4.259, 2.427], [4.259, 4.259, -2.427]], "species": ["Ce", "Ce", "Ce", "Ce", "Co", "Co", "Co", "Co", "Si"], "frac_coords": [[0.080, 0.282, 0.363], [0.282, 0.920, 0.202], [0.718, 0.080, 0.798], [0.920, 0.718, 0.637], [0.251, 0.573, 0.824], [0.427, 0.251, 0.678], [0.573, 0.749, 0.322], [0.749, 0.427, 0.176], [0.500, 0.500, 0.000]]}

=====

--- x ---
{"formula": "Ce4Co4Si", "functional": "PBE-GGA", "state": "relaxed", "rho_g_cm3": 8.0, "magnetic_moment_mub_per_cell": 0.00, "dos_at_fermi_per_ev_fu": 11.03, "cell": [[8.334, 0.000, 0.000], [0.000, 8.334, 0.000], [0.000, 0.000, 4.912]], "species": ["Ce", "Ce", "Ce", "Ce", "Ce", "Ce", "Ce", "Ce", "Co", "Co", "Co", "Co", "Co", "Co", "Co", "Co", "Si", "Si"], "frac_coords": [[0.028, 0.824, 0.099], [0.176, 0.528, 0.599], [0.324, 0.972, 0.599], [0.472, 0.676, 0.099], [0.528, 0.324, 0.901], [0.676, 0.028, 0.401], [0.824, 0.472, 0.401], [0.972, 0.176, 0.901], [0.011, 0.149, 0.439], [0.149, 0.489, 0.061], [0.351, 0.011, 0.061], [0.489, 0.351, 0.439], [0.511, 0.649, 0.561], [0.649, 0.989, 0.939], [0.851, 0.511, 0.939], [0.989, 0.851, 0.561], [0.250, 0.250, 0.250], [0.750, 0.750, 0.750]]}

=====

Order of stability, best first: x, w

=====

--- w ---
{"formula": "CeCo3Si", "functional": "PBE-GGA", "state": "relaxed", "rho_g_cm3": 7.3, "magnetic_moment_mub_per_cell": 2.16, "dos_at_fermi_per_ev_fu": 5.14, "cell": [[2.899, -6.226, 0.000], [2.899, 6.226, 0.000], [0.000, 0.000, 4.357]], "species": ["Ce", "Ce", "Co", "Co", "Co", "Co", "Co", "Co", "Si", "Si"], "frac_coords": [[0.097, 0.903, 0.750], [0.903, 0.097, 0.250], [0.103, 0.500, 0.250], [0.500, 0.103, 0.750], [0.500, 0.500, 0.000], [0.500, 0.500, 0.500], [0.500, 0.897, 0.250], [0.897, 0.500, 0.750], [0.333, 0.667, 0.750], [0.667, 0.333, 0.250]]}

=====

--- x ---
{"formula": "CeCo3Si", "functional": "PBE-GGA", "state": "relaxed", "rho_g_cm3": 7.4, "magnetic_moment_mub_per_cell": 0.72, "dos_at_fermi_per_ev_fu": 5.94, "cell": [[4.268, 0.000, 0.000], [0.000, 4.268, 0.000], [0.000, 0.000, 4.268]], "species": ["Ce", "Co", "Co", "Co", "Si"], "frac_coords": [[0.000, 0.000, 0.000], [0.000, 0.500, 0.500], [0.500, 0.000, 0.500], [0.500, 0.500, 0.000], [0.500, 0.500, 0.500]]}

=====

Order of stability, best first: w, x